Here is a relaxed Tb9Sm11Ho4 crystal from Alexandria via LeMat-Bulk. Energies are from GGA-PBE.

Results
Its density of states at the Fermi level is 31.0 states/eV/cell. Its energy of formation is 0.054 eV/atom. The calculation puts the uncorrected energy at -4.608 eV per atom. The space-group type is Cmmm.

a = 15.349 Å, b = 15.349 Å, c = 3.652 Å
α = 90.00°, β = 90.00°, γ = 113.13°
Positions (direct):
Tb: 0.000 0.000 0.000
Tb: 0.130 0.665 0.000
Tb: 0.286 0.432 0.000
Tb: 0.335 0.870 0.000
Tb: 0.432 0.286 0.000
Tb: 0.568 0.714 0.000
Tb: 0.665 0.130 0.000
Tb: 0.714 0.568 0.000
Tb: 0.870 0.335 0.000
Sm: 0.095 0.457 0.500
Sm: 0.131 0.869 0.500
Sm: 0.208 0.208 0.500
Sm: 0.339 0.661 0.500
Sm: 0.457 0.095 0.500
Sm: 0.500 0.500 0.500
Sm: 0.543 0.905 0.500
Sm: 0.661 0.339 0.500
Sm: 0.792 0.792 0.500
Sm: 0.869 0.131 0.500
Sm: 0.905 0.543 0.500
Ho: 0.055 0.259 0.000
Ho: 0.259 0.055 0.000
Ho: 0.741 0.945 0.000
Ho: 0.945 0.741 0.000

Here is a relaxed Tb2Sm8Ho crystal from Alexandria via LeMat-Bulk. Energies are from GGA-PBE.

Results
Its density of states at the Fermi level is 17.6 states/eV/cell. Its energy of formation is 0.168 eV/atom. The calculation puts the uncorrected energy at -4.523 eV per atom. The space-group type is C2/m.

a = 9.007 Å, b = 9.007 Å, c = 6.704 Å
α = 99.59°, β = 99.59°, γ = 44.04°
Positions (direct):
Tb: 0.198 0.198 0.304
Tb: 0.802 0.802 0.696
Sm: 0.175 0.650 0.096
Sm: 0.244 0.244 0.815
Sm: 0.350 0.825 0.904
Sm: 0.408 0.408 0.589
Sm: 0.592 0.592 0.411
Sm: 0.650 0.175 0.096
Sm: 0.756 0.756 0.185
Sm: 0.825 0.350 0.904
Ho: 0.000 0.000 0.500

Here is a relaxed Tb5Sm2Ho2 crystal from Alexandria via LeMat-Bulk. Energies are from GGA-PBE.

Results
Its density of states at the Fermi level is 12.5 states/eV/cell. Its energy of formation is 0.241 eV/atom. The calculation puts the distance to the lowest polymorph of the same formula at 22.4 meV per atom. The calculation puts the uncorrected energy at -4.397 eV per atom. The space-group type is C2/m.

a = 10.946 Å, b = 10.946 Å, c = 8.208 Å
α = 99.45°, β = 99.45°, γ = 18.41°
Positions (direct):
Tb: 0.000 0.000 0.000
Tb: 0.096 0.096 0.737
Tb: 0.310 0.310 0.470
Tb: 0.690 0.690 0.530
Tb: 0.904 0.904 0.263
Sm: 0.181 0.181 0.149
Sm: 0.819 0.819 0.851
Ho: 0.452 0.452 0.645
Ho: 0.548 0.548 0.355

Here is a relaxed Tb12Sm3Ho crystal from Alexandria via LeMat-Bulk. Energies are from GGA-PBE.

Results
Its density of states at the Fermi level is 21.8 states/eV/cell. Its energy of formation is 0.017 eV/atom. The calculation puts the uncorrected energy at -4.627 eV per atom. The space-group type is P4/mmm.

a = 5.049 Å, b = 5.049 Å, c = 20.184 Å
α = 90.00°, β = 90.00°, γ = 90.00°
Positions (direct):
Tb: 0.000 0.000 0.000
Tb: 0.000 0.000 0.249
Tb: 0.000 0.000 0.500
Tb: 0.000 0.000 0.751
Tb: 0.000 0.500 0.124
Tb: 0.000 0.500 0.374
Tb: 0.000 0.500 0.626
Tb: 0.000 0.500 0.876
Tb: 0.500 0.000 0.124
Tb: 0.500 0.000 0.374
Tb: 0.500 0.000 0.626
Tb: 0.500 0.000 0.876
Sm: 0.500 0.500 0.249
Sm: 0.500 0.500 0.500
Sm: 0.500 0.500 0.751
Ho: 0.500 0.500 0.000

Here is a relaxed Tb3SmHo7 crystal from Alexandria via LeMat-Bulk. Energies are from GGA-PBE.

Results
Its density of states at the Fermi level is 17.3 states/eV/cell. Its energy of formation is 0.191 eV/atom. The calculation puts the distance to the lowest polymorph of the same formula at 42.1 meV per atom. The calculation puts the uncorrected energy at -4.414 eV per atom. The space-group type is P3m1.

a = 7.027 Å, b = 7.027 Å, c = 8.583 Å
α = 90.00°, β = 90.00°, γ = 120.00°
Positions (direct):
Tb: 0.167 0.334 0.000
Tb: 0.167 0.833 0.000
Tb: 0.666 0.833 0.000
Sm: 0.000 0.000 0.338
Ho: 0.002 0.501 0.336
Ho: 0.331 0.166 0.667
Ho: 0.333 0.667 0.664
Ho: 0.499 0.501 0.336
Ho: 0.499 0.998 0.336
Ho: 0.834 0.166 0.667
Ho: 0.834 0.669 0.667

Here is a relaxed Tb6SmHo crystal from Alexandria via LeMat-Bulk. Energies are from GGA-PBE.

Results
Its density of states at the Fermi level is 22.5 states/eV/cell. Its energy of formation is 0.369 eV/atom. The calculation puts the distance to the lowest polymorph of the same formula at 349.3 meV per atom. The calculation puts the uncorrected energy at -4.266 eV per atom. The space-group type is C2/m.

a = 9.970 Å, b = 6.858 Å, c = 8.487 Å
α = 90.00°, β = 104.01°, γ = 90.00°
Positions (direct):
Tb: 0.128 0.000 0.425
Tb: 0.195 0.238 0.802
Tb: 0.195 0.762 0.802
Tb: 0.305 0.262 0.198
Tb: 0.305 0.738 0.198
Tb: 0.372 0.500 0.575
Tb: 0.628 0.500 0.425
Tb: 0.695 0.262 0.802
Tb: 0.695 0.738 0.802
Tb: 0.805 0.238 0.198
Tb: 0.805 0.762 0.198
Tb: 0.872 0.000 0.575
Sm: 0.000 0.500 0.500
Sm: 0.500 0.000 0.500
Ho: 0.000 0.500 0.000
Ho: 0.500 0.000 0.000

Here is a relaxed Tb3Sm6Ho2 crystal from Alexandria via LeMat-Bulk. Energies are from GGA-PBE.

Results
Its density of states at the Fermi level is 16.2 states/eV/cell. Its energy of formation is 0.289 eV/atom. The calculation puts the distance to the lowest polymorph of the same formula at 274.6 meV per atom. The calculation puts the uncorrected energy at -4.381 eV per atom. The space-group type is I4/mmm.

a = 17.072 Å, b = 17.072 Å, c = 17.072 Å
α = 163.96°, β = 163.96°, γ = 22.76°
Positions (direct):
Tb: 0.000 0.000 0.000
Tb: 0.199 0.199 0.000
Tb: 0.801 0.801 0.000
Sm: 0.120 0.620 0.500
Sm: 0.301 0.301 0.000
Sm: 0.380 0.880 0.500
Sm: 0.620 0.120 0.500
Sm: 0.699 0.699 0.000
Sm: 0.880 0.380 0.500
Ho: 0.455 0.455 0.000
Ho: 0.545 0.545 0.000

Here is a relaxed TbSm6Ho12 crystal from Alexandria via LeMat-Bulk. Energies are from GGA-PBE.

Results
Its density of states at the Fermi level is 29.5 states/eV/cell. Its energy of formation is 0.122 eV/atom. The calculation puts the distance to the lowest polymorph of the same formula at 0.0 meV per atom. The calculation puts the uncorrected energy at -4.503 eV per atom. The space-group type is R-3m.

a = 8.625 Å, b = 8.625 Å, c = 8.625 Å
α = 79.72°, β = 79.72°, γ = 79.72°
Positions (direct):
Tb: 0.000 0.000 0.000
Sm: 0.163 0.769 0.769
Sm: 0.231 0.231 0.837
Sm: 0.231 0.837 0.231
Sm: 0.769 0.163 0.769
Sm: 0.769 0.769 0.163
Sm: 0.837 0.231 0.231
Ho: 0.136 0.136 0.486
Ho: 0.136 0.486 0.136
Ho: 0.196 0.515 0.515
Ho: 0.485 0.485 0.804
Ho: 0.485 0.804 0.485
Ho: 0.486 0.136 0.136
Ho: 0.514 0.864 0.864
Ho: 0.515 0.196 0.515
Ho: 0.515 0.515 0.196
Ho: 0.804 0.485 0.485
Ho: 0.864 0.514 0.864
Ho: 0.864 0.864 0.514

Here is a relaxed Tb3Sm3Ho8 crystal from Alexandria via LeMat-Bulk. Energies are from GGA-PBE.

Results
Its density of states at the Fermi level is 21.4 states/eV/cell. Its energy of formation is 0.111 eV/atom. The calculation puts the uncorrected energy at -4.508 eV per atom. The space-group type is Immm.

a = 9.637 Å, b = 9.637 Å, c = 9.637 Å
α = 146.06°, β = 112.18°, γ = 78.05°
Positions (direct):
Tb: 0.000 0.000 0.000
Tb: 0.297 0.000 0.297
Tb: 0.703 0.000 0.703
Sm: 0.317 0.817 0.500
Sm: 0.500 0.500 0.000
Sm: 0.683 0.183 0.500
Ho: 0.055 0.397 0.659
Ho: 0.061 0.221 0.840
Ho: 0.262 0.603 0.659
Ho: 0.381 0.221 0.160
Ho: 0.619 0.779 0.840
Ho: 0.738 0.397 0.341
Ho: 0.939 0.779 0.160
Ho: 0.945 0.603 0.341

Here is a relaxed Tb2SmHo7 crystal from Alexandria via LeMat-Bulk. Energies are from GGA-PBE.

Results
Its density of states at the Fermi level is 17.1 states/eV/cell. Its energy of formation is 0.049 eV/atom. The calculation puts the distance to the lowest polymorph of the same formula at 0.0 meV per atom. The calculation puts the uncorrected energy at -4.554 eV per atom. The space-group type is C2/m.

a = 9.422 Å, b = 9.422 Å, c = 5.414 Å
α = 106.68°, β = 106.68°, γ = 124.00°
Positions (direct):
Tb: 0.199 0.801 0.000
Tb: 0.801 0.199 0.000
Sm: 0.500 0.500 0.500
Ho: 0.000 0.000 0.000
Ho: 0.140 0.359 0.749
Ho: 0.300 0.700 0.500
Ho: 0.359 0.140 0.749
Ho: 0.641 0.860 0.251
Ho: 0.700 0.300 0.500
Ho: 0.860 0.641 0.251